Compound: WS2BrO8
Source: the Alexandria database
Functional: GGA+U
Structure: optimized geometry

Values from the calculation:
Energy   -0.218 hartree per atom
SG   No. 12

Geometry as POSCAR:
```
WS2BrO8
1.0
4.269 -2.658 0.000
4.269 2.658 0.000
-3.920 0.000 9.219
W S Br O
1 2 1 8
Direct
0.000 0.000 0.000
0.434 0.434 0.176
0.566 0.566 0.824
0.000 0.000 0.500
0.243 0.694 0.848
0.264 0.264 0.051
0.306 0.757 0.152
0.430 0.430 0.316
0.570 0.570 0.684
0.694 0.243 0.848
0.736 0.736 0.949
0.757 0.306 0.152
```